1.
DFT (PBE) results for a relaxed ZrFeW2 crystal.

## Properties
Formation energy from the elements, meV per atom: 716
VASP energy, eV per atom: -10.01
SG: I-42d
Excess energy over the best structure of this formula in the dataset, meV/atom: 636
Total magnetic moment, μB per atom: 0.22

Lattice parameters (Å, degrees): 10.512 10.512 10.512 159.72 159.72 28.84
Atoms (fractional coordinates):
Zr1 0.000 0.000 0.000
Zr2 0.750 0.250 0.500
Fe1 0.250 0.750 0.500
Fe2 0.500 0.500 0.000
W1 0.128 0.625 0.003
W2 0.375 0.378 0.503
W3 0.622 0.125 0.997
W4 0.875 0.872 0.497

---

2.
DFT (PBE) results for a relaxed ZrFeW2 crystal.

## Properties
Formation energy from the elements, meV per atom: 80
VASP energy, eV per atom: -10.65
SG: P4mm
Excess energy over the best structure of this formula in the dataset, meV/atom: 0
Total magnetic moment, μB per atom: 0.22

Lattice parameters (Å, degrees): 3.190 3.190 6.399 90.00 90.00 90.00
Atoms (fractional coordinates):
Zr1 0.000 0.000 0.000
Fe1 0.500 0.500 0.256
W1 0.000 0.000 0.484
W2 0.500 0.500 0.718

---

3.
DFT (PBE) results for a relaxed ZrFeW crystal.

## Properties
Formation energy from the elements, meV per atom: 393
VASP energy, eV per atom: -9.59
SG: F-43m
Total magnetic moment, μB per atom: 0.00

Lattice parameters (Å, degrees): 4.240 4.240 4.240 60.00 60.00 60.00
Atoms (fractional coordinates):
Zr1 0.000 0.000 0.000
Fe1 0.750 0.750 0.750
W1 0.500 0.500 0.500

---

4.
DFT (PBE) results for a relaxed ZrFeW2 crystal.

## Properties
Formation energy from the elements, meV per atom: 425
VASP energy, eV per atom: -10.30
SG: R-3m
Excess energy over the best structure of this formula in the dataset, meV/atom: 346
Total magnetic moment, μB per atom: 0.35

Lattice parameters (Å, degrees): 9.409 9.409 9.409 17.54 17.54 17.54
Atoms (fractional coordinates):
Zr1 0.000 0.000 0.000
Fe1 0.500 0.500 0.500
W1 0.239 0.239 0.239
W2 0.761 0.761 0.761

---

5.
DFT (PBE) results for a relaxed ZrFeW2 crystal.

## Properties
Formation energy from the elements, meV per atom: 216
VASP energy, eV per atom: -10.51
SG: P4mm
Excess energy over the best structure of this formula in the dataset, meV/atom: 136
Total magnetic moment, μB per atom: 0.00

Lattice parameters (Å, degrees): 2.835 2.835 8.066 90.00 90.00 90.00
Atoms (fractional coordinates):
Zr1 0.000 0.000 0.000
Fe1 0.500 0.500 0.246
W1 0.000 0.000 0.430
W2 0.500 0.500 0.701

---

6.
DFT (PBE) results for a relaxed ZrFeW2 crystal.

## Properties
Formation energy from the elements, meV per atom: 264
VASP energy, eV per atom: -10.47
SG: P4/mmm
Excess energy over the best structure of this formula in the dataset, meV/atom: 184
Total magnetic moment, μB per atom: 0.44

Lattice parameters (Å, degrees): 3.775 3.775 4.673 90.00 90.00 90.00
Atoms (fractional coordinates):
Zr1 0.000 0.000 0.000
Fe1 0.500 0.500 0.000
W1 0.000 0.500 0.500
W2 0.500 0.000 0.500